Sr2Ga3SnRh4: optimized geometry, PBE.

a = 4.4539 Å, b = 4.4539 Å, c = 10.2333 Å
α = 90.00°, β = 90.00°, γ = 90.00°
With the nearest neighbours (Å) after each atom.
Fractional coordinates of all 10 atoms:
Ga1 0.5000 0.0000 0.8842  5 Rh 2.52-2.55
Ga2 0.0000 0.0000 0.5000  4 Rh 2.62
Ga3 0.0000 0.5000 0.1158  5 Rh 2.52-2.55
Rh1 0.5000 0.5000 0.0000  4 Ga 2.52
Rh2 0.5000 0.0000 0.6347  3 Ga 2.55-2.62, 2 Sn 2.62
Rh3 0.0000 0.5000 0.3653  3 Ga 2.55-2.62, 2 Sn 2.62
Rh4 0.0000 0.0000 0.0000  4 Ga 2.52
Sr1 0.5000 0.0000 0.2334  8 Rh 3.27-3.43, 7 Ga 3.37-3.57, 2 Sn 3.52
Sr2 0.0000 0.5000 0.7666  8 Rh 3.27-3.43, 7 Ga 3.37-3.57, 2 Sn 3.52
Sn1 0.5000 0.5000 0.5000  4 Rh 2.62

The total energy comes out at -5.237 eV/atom. The calculation puts the volume at 20.30 Å³/atom. The value obtained for the energy of formation from the pure elements is -651 meV/atom.

SrGaSn2Rh2: optimized geometry, PBE.

a = 4.7399 Å, b = 4.7399 Å, c = 6.0976 Å
α = 90.00°, β = 90.00°, γ = 90.00°
With the nearest neighbours (Å) after each atom.
Fractional coordinates of all 6 atoms:
Sr1 0.0000 0.0000 0.5000  2 Ga 3.05
Ga1 0.0000 0.0000 0.0000  4 Rh 2.37
Rh1 0.5000 0.0000 0.0000  2 Ga 2.37
Rh2 0.0000 0.5000 0.0000  2 Ga 2.37
Sn1 0.5000 0.5000 0.2516  4 Rh 2.82, 2 Sn 3.03-3.07
Sn2 0.5000 0.5000 0.7484  4 Rh 2.82, 2 Sn 3.03-3.07

The total energy comes out at -5.051 eV/atom. The calculation puts the volume at 22.83 Å³/atom. The value obtained for the energy of formation from the pure elements is -481 meV/atom.

Tb2Ga3SnRh4: optimized geometry, PBE.

a = 4.2981 Å, b = 4.2981 Å, c = 10.2715 Å
α = 90.00°, β = 90.00°, γ = 90.00°
With the nearest neighbours (Å) after each atom.
Fractional coordinates of all 10 atoms:
Ga1 0.0000 0.0000 0.5000  4 Rh 2.60
Ga2 0.5000 0.0000 0.8784  5 Rh 2.43-2.49
Ga3 0.0000 0.5000 0.1216  5 Rh 2.43-2.49
Tb1 0.0000 0.5000 0.7713  8 Rh 3.18-3.32, 6 Ga 3.23-3.52, 2 Sn 3.52
Tb2 0.5000 0.0000 0.2287  8 Rh 3.18-3.32, 6 Ga 3.23-3.52, 2 Sn 3.52
Rh1 0.5000 0.5000 0.0000  4 Ga 2.49
Rh2 0.0000 0.0000 0.0000  4 Ga 2.49
Rh3 0.0000 0.5000 0.3582  3 Ga 2.43-2.60, 2 Sn 2.60
Rh4 0.5000 0.0000 0.6418  3 Ga 2.43-2.60, 2 Sn 2.60
Sn1 0.5000 0.5000 0.5000  4 Rh 2.60

The total energy comes out at -5.942 eV/atom. The calculation puts the volume at 18.98 Å³/atom. The value obtained for the energy of formation from the pure elements is -767 meV/atom.

Ga2TcSnRh: optimized geometry, PBE.

a = 4.6778 Å, b = 5.1388 Å, c = 4.6778 Å
α = 90.00°, β = 90.00°, γ = 90.00°
With the nearest neighbours (Å) after each atom.
Fractional coordinates of all 5 atoms:
Sn1 0.0000 0.5000 0.0000  2 Rh 2.57
Ga1 0.0000 0.0000 0.5000  2 Rh 2.34
Ga2 0.5000 0.0000 0.0000  2 Rh 2.34
Tc1 0.5000 0.5000 0.5000  4 Sn 3.31, 8 Ga 3.47
Rh1 0.0000 0.0000 0.0000  4 Ga 2.34, 2 Sn 2.57

The total energy comes out at -4.964 eV/atom. The calculation puts the volume at 22.49 Å³/atom. The value obtained for the energy of formation from the pure elements is 590 meV/atom.

| no. | spin magnetization (μB per cell) |
| --- | --- |
| 1 | 0.0 |
| 2 | 0.0 |
| 3 | 0.0 |
| 4 | 3.5 |